Record 1
Entry from Alexandria via LeMat-Bulk: La2InRu after structural relaxation (GGA-PBE).

Cell: 5.6074 5.6074 5.6074 Å, 52.41 52.41 52.41°
Closest atoms and distances in Å follow each position.
Element x y z (fractional)
1 In 0.7851 0.7851 0.7851  3 Ru 2.86, 3 La 3.19
2 La 0.0209 0.0209 0.0209  4 In 3.19-3.41, 4 La 3.19-3.29, 3 Ru 3.19
3 La 0.2414 0.2414 0.2414  4 Ru 3.06-3.36, 4 La 3.19-3.29, 3 In 3.37
4 Ru 0.4527 0.4527 0.4527  3 In 2.86, 4 La 3.06-3.19

Crystal system = trigonal
Size of the total moment = 0.0000 μB per atom
DFT total energy = -22.68 eV per formula unit
Space-group type = R3m (160)


Record 2
Entry from Alexandria via LeMat-Bulk: La2In2Ru after structural relaxation (GGA-PBE).

Cell: 7.3557 7.3557 4.9461 Å, 90.00 90.00 90.00°
Closest atoms and distances in Å follow each position.
Element x y z (fractional)
1 Ru 0.0000 0.0000 0.0000  4 In 2.82
2 Ru 0.5000 0.5000 0.0000  4 In 2.82
3 In 0.3555 0.8555 0.0000  2 Ru 2.82, 1 In 3.01, 2 La 3.16
4 In 0.8555 0.6445 0.0000  2 Ru 2.82, 1 In 3.01, 2 La 3.16
5 In 0.6445 0.1445 0.0000  2 Ru 2.82, 1 In 3.01, 2 La 3.16
6 In 0.1445 0.3555 0.0000  2 Ru 2.82, 1 In 3.01, 2 La 3.16
7 La 0.1671 0.6671 0.5000  6 In 3.16-3.38, 1 La 3.48
8 La 0.6671 0.8329 0.5000  6 In 3.16-3.38, 1 La 3.48
9 La 0.8329 0.3329 0.5000  6 In 3.16-3.38, 1 La 3.48
10 La 0.3329 0.1671 0.5000  6 In 3.16-3.38, 1 La 3.48

Excess energy over the best structure of this formula in the dataset = 0 meV/atom
Crystal system = tetragonal
Size of the total moment = 0.0000 μB per atom
Space-group type = P4/mbm (127)


Record 3
Entry from Alexandria via LeMat-Bulk: LaInRu2 after structural relaxation (GGA-PBE).

Cell: 4.8740 4.8740 4.8740 Å, 60.00 60.00 60.00°
Closest atoms and distances in Å follow each position.
Element x y z (fractional)
1 In 0.5000 0.5000 0.5000  4 La 2.98, 4 Ru 2.98
2 La 0.2500 0.2500 0.2500  4 In 2.98, 4 Ru 2.98
3 Ru 0.0000 0.0000 0.0000  4 Ru 2.98, 4 La 2.98
4 Ru 0.7500 0.7500 0.7500  4 Ru 2.98, 4 In 2.98

Crystal system = cubic
Size of the total moment = 0.4663 μB per atom
DFT total energy = -24.78 eV per formula unit
Space-group type = F-43m (216)


Record 4
Entry from Alexandria via LeMat-Bulk: La2InRu after structural relaxation (GGA-PBE).

Cell: 4.0485 7.3602 8.0026 Å, 90.00 104.65 90.00°
Closest atoms and distances in Å follow each position.
Element x y z (fractional)
1 La 0.6451 0.9998 0.2902  2 Ru 2.81
2 La 0.3549 0.4998 0.7098  2 Ru 2.81
3 La 0.6451 0.5002 0.2902  2 Ru 2.81
4 La 0.3549 0.0002 0.7098  2 Ru 2.81
5 In 0.0068 0.7500 0.0137  1 Ru 2.80
6 In 0.9932 0.2500 0.9863  1 Ru 2.80
7 Ru 0.1874 0.7500 0.3747  1 In 2.80, 4 La 2.81
8 Ru 0.8126 0.2500 0.6253  1 In 2.80, 4 La 2.81

Crystal system = orthorhombic
Size of the total moment = 0.0000 μB per atom
DFT total energy = -23.35 eV per formula unit
Space-group type = Cmcm (63)